Compound: NiGeIrPd
Source: Alexandria
Functional: PBE
Structure: optimized geometry

extended XYZ file:
```
4
Lattice="0.000 3.022 3.022 3.022 0.000 3.022 3.022 3.022 0.000" Properties=species:S:1:pos:R:3 pbc="T T T"
Ni 0.000 0.000 0.000
Ge 3.022 3.022 3.022
Ir 1.511 1.511 1.511
Pd 4.532 4.532 4.532
```

Values from the calculation:
For the total moment, the calculation gives 0.01 μB per cell. The formation energy is -0.156 eV per atom. The energy comes out at -6.269 eV per atom. The density of states at the Fermi level comes out at 4.093 states/eV per cell.